[1]
VASP calculation (PBE-GGA) on a geometry-optimized MgRe2W structure.

Computed properties:
ΔH_f (0 K)   286.6 meV per atom
Final energy   -9.5744 eV per atom

a b c (Å): 2.727 2.727 9.226
angles (deg): 90.00 90.00 111.04
Sites, in units of the cell vectors:
Mg: 0.500 0.500 0.754
Re: 0.000 0.000 0.010
Re: 0.500 0.500 0.248
W: 0.000 0.000 0.488

---

[2]
VASP calculation (PBE-GGA) on a geometry-optimized BaZn3Ag structure.

Computed properties:
ΔH_f (0 K)   -45.1 meV per atom
Distance to the lowest polymorph of the same formula   133.9 meV per atom
Final energy   -1.7643 eV per atom

a b c (Å): 5.045 5.045 5.045
angles (deg): 90.00 90.00 90.00
Sites, in units of the cell vectors:
Zn: 0.000 0.500 0.000
Zn: 0.000 0.000 0.500
Zn: 0.500 0.000 0.000
Ba: 0.500 0.500 0.500
Ag: 0.000 0.000 0.000

---

[3]
VASP calculation (PBE-GGA) on a geometry-optimized La2AsRh structure.

Computed properties:
ΔH_f (0 K)   -899.5 meV per atom
Final energy   -6.3634 eV per atom

a b c (Å): 3.678 3.678 7.438
angles (deg): 90.00 90.00 97.55
Sites, in units of the cell vectors:
As: 0.500 0.500 0.750
Rh: 0.500 0.500 0.250
La: 0.000 0.000 0.006
La: 0.000 0.000 0.494

---

[4]
VASP calculation (PBE-GGA) on a geometry-optimized BaMnIr structure.

Computed properties:
ΔH_f (0 K)   262.6 meV per atom
Distance to the lowest polymorph of the same formula   248.7 meV per atom
Final energy   -6.3885 eV per atom

a b c (Å): 6.269 6.269 6.269
angles (deg): 149.82 144.96 46.91
Sites, in units of the cell vectors:
Ba: 0.997 0.997 0.000
Ir: 0.280 0.280 0.000
Mn: 0.724 0.724 0.000

---

- Which value of ΔH_f (0 K) does entry 3 give?
  -899.5 meV per atom